Tb2ErTl3S6: relaxed, PBE.

Calculated values
The calculation puts the density of states at the Fermi level at 0.000 states/eV/f.u. The crystal system is monoclinic. The space group is C2/m. The total energy is -5.296 eV/atom.

Lattice parameters (Å, degrees): 6.984 6.984 7.873 98.50 98.50 120.00
Fractional coordinates of all 12 atoms:
S1 0.396 0.066 0.197
S2 0.736 0.736 0.198
S3 0.604 0.934 0.803
S4 0.934 0.604 0.803
S5 0.066 0.396 0.197
S6 0.264 0.264 0.802
Tb1 0.333 0.667 0.000
Tb2 0.667 0.333 0.000
Tl1 0.500 0.500 0.500
Tl2 0.833 0.167 0.500
Tl3 0.167 0.833 0.500
Er1 0.000 0.000 0.000